Record 1
! Pr6Bi5Se, relaxed, DFT PBE-GGA; values from VASP
&SYSTEM
  ibrav = 0, nat = 12, ntyp = 3
/
ATOMIC_SPECIES
Pr 140.91 Pr.upf
Bi 208.98 Bi.upf
Se 78.96 Se.upf
CELL_PARAMETERS angstrom
-2.905 -2.956 -6.773
-5.962 -4.996 1.631
-7.446 2.713 0.456
ATOMIC_POSITIONS crystal
Pr 0.756 0.081 0.325
Pr 0.244 0.594 0.325
Pr 0.249 0.242 0.000
Pr 0.751 0.758 0.000
Pr 0.756 0.406 0.675
Pr 0.244 0.919 0.675
Bi 0.500 0.171 0.659
Bi 0.000 0.334 0.332
Bi 0.500 0.500 0.000
Bi 0.000 0.666 0.668
Bi 0.500 0.829 0.341
Se 0.000 0.000 0.000
! SG: C2/m, No. 12
! Formation energy (no corrections): -1.103 eV/atom
! Total magnetic moment: 0.00 μB per cell


Record 2
! Pr3Bi5Se12, relaxed, DFT PBE-GGA; values from VASP
&SYSTEM
  ibrav = 0, nat = 80, ntyp = 3
/
ATOMIC_SPECIES
Pr 140.91 Pr.upf
Bi 208.98 Bi.upf
Se 78.96 Se.upf
CELL_PARAMETERS angstrom
-11.899 5.331 -7.485
8.169 -8.716 -9.128
-4.696 -8.086 11.773
ATOMIC_POSITIONS crystal
Pr 0.750 0.375 0.125
Pr 0.875 0.750 0.125
Pr 0.375 0.750 0.625
Pr 0.250 0.125 0.375
Pr 0.875 0.125 0.250
Pr 0.375 0.625 0.250
Pr 0.625 0.375 0.750
Pr 0.125 0.875 0.750
Pr 0.750 0.875 0.625
Pr 0.625 0.250 0.375
Pr 0.125 0.250 0.875
Pr 0.250 0.625 0.875
Bi 0.125 0.375 0.250
Bi 0.000 0.500 0.000
Bi 0.000 0.000 0.000
Bi 0.375 0.250 0.125
Bi 0.500 0.000 0.500
Bi 0.500 0.500 0.000
Bi 0.125 0.750 0.375
Bi 0.750 0.125 0.875
Bi 0.750 0.625 0.375
Bi 0.375 0.125 0.750
Bi 0.625 0.875 0.250
Bi 0.500 0.500 0.500
Bi 0.500 0.000 0.000
Bi 0.000 0.000 0.500
Bi 0.250 0.375 0.625
Bi 0.250 0.875 0.125
Bi 0.000 0.500 0.500
Bi 0.875 0.250 0.625
Bi 0.625 0.750 0.875
Bi 0.875 0.625 0.750
Se 0.723 0.138 0.053
Se 0.331 0.553 0.416
Se 0.947 0.362 0.277
Se 0.553 0.223 0.138
Se 0.585 0.723 0.669
Se 0.947 0.584 0.169
Se 0.331 0.777 0.415
Se 0.084 0.915 0.138
Se 0.584 0.947 0.669
Se 0.723 0.585 0.169
Se 0.777 0.447 0.362
Se 0.831 0.916 0.053
Se 0.138 0.723 0.553
Se 0.362 0.416 0.085
Se 0.085 0.916 0.362
Se 0.415 0.138 0.584
Se 0.085 0.169 0.223
Se 0.447 0.669 0.084
Se 0.831 0.915 0.277
Se 0.138 0.415 0.084
Se 0.362 0.947 0.777
Se 0.584 0.638 0.415
Se 0.916 0.831 0.553
Se 0.777 0.331 0.915
Se 0.416 0.362 0.585
Se 0.084 0.169 0.447
Se 0.223 0.669 0.085
Se 0.169 0.085 0.723
Se 0.638 0.053 0.223
Se 0.862 0.585 0.916
Se 0.553 0.331 0.916
Se 0.585 0.862 0.416
Se 0.915 0.831 0.777
Se 0.915 0.084 0.638
Se 0.862 0.277 0.447
Se 0.169 0.084 0.947
Se 0.638 0.584 0.915
Se 0.416 0.053 0.331
Se 0.277 0.415 0.831
Se 0.223 0.553 0.638
Se 0.916 0.085 0.862
Se 0.669 0.223 0.585
Se 0.447 0.777 0.862
Se 0.053 0.416 0.831
Se 0.415 0.277 0.331
Se 0.053 0.638 0.723
Se 0.669 0.447 0.584
Se 0.277 0.862 0.947
! SG: Ia-3d, No. 230
! Formation energy (no corrections): -0.819 eV/atom
! Total magnetic moment: 0.00 μB per cell


Record 3
! Pr2BiSe4, relaxed, DFT PBE-GGA; values from VASP
&SYSTEM
  ibrav = 0, nat = 7, ntyp = 3
/
ATOMIC_SPECIES
Pr 140.91 Pr.upf
Bi 208.98 Bi.upf
Se 78.96 Se.upf
CELL_PARAMETERS angstrom
4.246 0.000 0.000
0.000 7.583 -0.182
-2.123 -3.872 7.119
ATOMIC_POSITIONS crystal
Pr 0.728 0.740 0.456
Pr 0.272 0.260 0.544
Bi 0.000 0.000 0.000
Se 0.875 0.186 0.750
Se 0.125 0.814 0.250
Se 0.637 0.283 0.274
Se 0.363 0.717 0.726
! SG: C2/m, No. 12
! Formation energy (no corrections): -1.286 eV/atom
! Total magnetic moment: 0.00 μB per cell


Record 4
! Pr4BiSe3, relaxed, DFT PBE-GGA; values from VASP
&SYSTEM
  ibrav = 0, nat = 16, ntyp = 3
/
ATOMIC_SPECIES
Pr 140.91 Pr.upf
Bi 208.98 Bi.upf
Se 78.96 Se.upf
CELL_PARAMETERS angstrom
4.361 0.000 0.000
-2.180 3.776 0.000
0.000 0.000 28.640
ATOMIC_POSITIONS crystal
Pr 0.667 0.333 0.940
Pr 0.333 0.667 0.060
Pr 0.333 0.667 0.440
Pr 0.667 0.333 0.560
Pr 0.000 0.000 0.823
Pr 0.000 0.000 0.177
Pr 0.000 0.000 0.323
Pr 0.000 0.000 0.677
Bi 0.667 0.333 0.750
Bi 0.333 0.667 0.250
Se 0.000 0.000 0.000
Se 0.000 0.000 0.500
Se 0.333 0.667 0.881
Se 0.667 0.333 0.119
Se 0.667 0.333 0.381
Se 0.333 0.667 0.619
! SG: P6_3/mmc, No. 194
! Formation energy (no corrections): -1.599 eV/atom
! Total magnetic moment: 0.00 μB per cell


Record 5
! Pr7BiSe5, relaxed, DFT PBE-GGA; values from VASP
&SYSTEM
  ibrav = 0, nat = 26, ntyp = 3
/
ATOMIC_SPECIES
Pr 140.91 Pr.upf
Bi 208.98 Bi.upf
Se 78.96 Se.upf
CELL_PARAMETERS angstrom
-1.902 2.996 -2.421
-5.297 -3.697 3.398
1.044 16.418 19.492
ATOMIC_POSITIONS crystal
Pr 0.481 0.961 0.250
Pr 0.520 0.040 0.750
Pr 0.638 0.276 0.037
Pr 0.363 0.726 0.963
Pr 0.363 0.726 0.537
Pr 0.638 0.275 0.463
Pr 0.185 0.370 0.175
Pr 0.816 0.632 0.825
Pr 0.815 0.631 0.675
Pr 0.185 0.370 0.325
Pr 0.909 0.818 0.114
Pr 0.092 0.184 0.886
Pr 0.092 0.183 0.614
Pr 0.909 0.818 0.386
Bi 0.807 0.615 0.250
Bi 0.193 0.386 0.750
Se 0.000 0.001 0.000
Se 0.724 0.448 0.930
Se 0.277 0.553 0.071
Se 0.549 0.098 0.358
Se 0.451 0.903 0.642
Se 0.000 0.000 0.500
Se 0.277 0.553 0.430
Se 0.724 0.448 0.570
Se 0.451 0.903 0.858
Se 0.549 0.098 0.142
! SG: Cmcm, No. 63
! Formation energy (no corrections): -1.570 eV/atom
! Total magnetic moment: 0.01 μB per cell


Record 6
! Pr4SnBi2Se, relaxed, DFT PBE-GGA; values from VASP
&SYSTEM
  ibrav = 0, nat = 8, ntyp = 4
/
ATOMIC_SPECIES
Pr 140.91 Pr.upf
Sn 118.71 Sn.upf
Bi 208.98 Bi.upf
Se 78.96 Se.upf
CELL_PARAMETERS angstrom
-3.279 -1.898 2.473
5.134 -5.316 2.728
3.353 2.745 6.553
ATOMIC_POSITIONS crystal
Pr 0.000 0.739 0.755
Pr 0.000 0.261 0.245
Pr 0.500 0.741 0.249
Pr 0.500 0.259 0.751
Sn 0.000 0.500 0.500
Bi 0.000 0.000 0.000
Bi 0.500 0.000 0.500
Se 0.500 0.500 0.000
! SG: P2/m, No. 10
! Formation energy (no corrections): -1.116 eV/atom
! Total magnetic moment: 0.00 μB per cell


Record 7
! Pr6Sn2BiSe3, relaxed, DFT PBE-GGA; values from VASP
&SYSTEM
  ibrav = 0, nat = 12, ntyp = 4
/
ATOMIC_SPECIES
Pr 140.91 Pr.upf
Sn 118.71 Sn.upf
Bi 208.98 Bi.upf
Se 78.96 Se.upf
CELL_PARAMETERS angstrom
-2.443 -2.411 -2.835
7.309 -4.288 -2.650
-1.917 -4.242 8.755
ATOMIC_POSITIONS crystal
Pr 0.329 0.917 0.659
Pr 0.665 0.588 0.330
Pr 0.671 0.083 0.341
Pr 0.000 0.260 0.999
Pr 0.000 0.740 0.001
Pr 0.335 0.412 0.670
Sn 0.833 0.666 0.666
Sn 0.167 0.334 0.334
Bi 0.500 0.000 0.000
Se 0.500 0.500 0.000
Se 0.834 0.166 0.669
Se 0.166 0.834 0.331
! SG: C2/m, No. 12
! Formation energy (no corrections): -1.324 eV/atom
! Total magnetic moment: 0.00 μB per cell


Record 8
! TbPrBiSe, relaxed, DFT PBE-GGA; values from VASP
&SYSTEM
  ibrav = 0, nat = 4, ntyp = 4
/
ATOMIC_SPECIES
Tb 158.93 Tb.upf
Pr 140.91 Pr.upf
Bi 208.98 Bi.upf
Se 78.96 Se.upf
CELL_PARAMETERS angstrom
4.267 -0.001 0.000
-2.133 3.696 0.000
-2.133 -1.232 7.685
ATOMIC_POSITIONS crystal
Tb 0.299 0.547 0.861
Pr 0.972 0.384 0.372
Bi 0.127 0.962 0.104
Se 0.480 0.138 0.633
! SG: R3m, No. 160
! Formation energy (no corrections): -1.246 eV/atom
! Total magnetic moment: 0.55 μB per cell